No. 1
## KPdNO (PBE)

Data for a geometry-optimized KPdNO structure.

calculated volume = 18.39 A^3/atom
relative energy among the computed polymorphs = 0.364 eV per atom

abc: 3.883 3.883 9.761
angles: 90.00 90.00 90.00
Fractional coordinates of all 8 atoms:
K 0.000 0.500 0.176
K 0.500 0.000 0.824
N 0.500 0.000 0.420
N 0.000 0.500 0.580
O 0.000 0.000 0.000
O 0.500 0.500 0.000
Pd 0.000 0.000 0.500
Pd 0.500 0.500 0.500

No. 2
## KPdNO (PBE)

Data for a geometry-optimized KPdNO structure.

calculated volume = 17.13 A^3/atom
relative energy among the computed polymorphs = 0.000 eV per atom

abc: 3.518 6.149 6.332
angles: 90.00 90.00 90.00
Fractional coordinates of all 8 atoms:
K 0.000 0.503 0.226
K 0.000 0.003 0.774
N 0.000 0.997 0.328
N 0.000 0.497 0.672
O 0.500 0.253 0.005
O 0.500 0.753 0.995
Pd 0.500 0.000 0.220
Pd 0.500 0.500 0.780

No. 3
## KPdNO (PBE)

Data for a geometry-optimized KPdNO structure.

calculated volume = 18.07 A^3/atom
relative energy among the computed polymorphs = 0.045 eV per atom

abc: 3.786 6.375 5.991
angles: 90.00 90.00 90.00
Fractional coordinates of all 8 atoms:
K 0.500 0.032 0.185
K 0.500 0.532 0.815
N 0.000 0.783 0.410
N 0.000 0.283 0.590
O 0.500 0.451 0.236
O 0.500 0.951 0.764
Pd 0.000 0.488 0.363
Pd 0.000 0.988 0.637